# 1
Entry from the Alexandria database: a relaxed BAsP2 crystal (PBE).

Its density of states at the Fermi level is 0.16 states/eV per atom. Its energy above the lowest structure with this stoichiometry is 29.4 meV/atom. The space-group type is No. 1.

a b c (Å): 3.0025 4.2662 6.7272
angles (deg): 72.50 85.94 69.38
Atoms (fractional coordinates):
P 0.2721 0.4993 0.9097
P 0.0542 0.0134 0.6678
As 0.2284 0.7492 0.3974
B 0.4066 0.3063 0.6695

---

# 2
Entry from the Alexandria database: a relaxed BAsP2 crystal (PBE).

Its density of states at the Fermi level is 0.26 states/eV per atom. Its energy above the lowest structure with this stoichiometry is 0.0 meV/atom. The space-group type is No. 8.

a b c (Å): 3.0324 3.3423 14.0098
angles (deg): 90.00 102.92 90.00
Atoms (fractional coordinates):
P 0.4165 0.0000 0.5627
P 0.4165 0.5000 0.0627
P 0.0892 0.0000 0.2291
P 0.0892 0.5000 0.7291
As 0.2128 0.0000 0.8482
As 0.2128 0.5000 0.3482
B 0.5007 0.0000 0.1437
B 0.5007 0.5000 0.6437

---

# 3
Entry from the Alexandria database: a relaxed BAsP2 crystal (PBE).

Its density of states at the Fermi level is 0.10 states/eV per atom. Its energy above the lowest structure with this stoichiometry is 182.0 meV/atom. The space-group type is No. 8.

a b c (Å): 4.7201 3.4166 8.7433
angles (deg): 90.00 104.49 90.00
Atoms (fractional coordinates):
P 0.3487 0.0000 0.4877
P 0.3487 0.5000 0.9877
P 0.7709 0.0000 0.8195
P 0.7709 0.5000 0.3195
As 0.0956 0.0000 0.0779
As 0.0956 0.5000 0.5779
B 0.9973 0.0000 0.2960
B 0.9973 0.5000 0.7960

---

# 4
Entry from the Alexandria database: a relaxed BAsP2 crystal (PBE).

Its density of states at the Fermi level is 0.21 states/eV per atom. Its energy above the lowest structure with this stoichiometry is 462.0 meV/atom. The space-group type is No. 166.

a b c (Å): 3.9271 3.9271 6.5158
angles (deg): 72.46 72.46 60.00
Atoms (fractional coordinates):
P 0.0969 0.0969 0.7094
P 0.9031 0.9031 0.2906
As 0.5000 0.5000 0.5000
B 0.0000 0.0000 0.0000

---

# 5
Entry from the Alexandria database: a relaxed BAsP2 crystal (PBE).

Its density of states at the Fermi level is 0.18 states/eV per atom. Its energy above the lowest structure with this stoichiometry is 193.5 meV/atom. The space-group type is No. 8.

a b c (Å): 5.8876 3.3712 8.9556
angles (deg): 90.00 124.61 90.00
Atoms (fractional coordinates):
P 0.0953 0.0000 0.3875
P 0.0953 0.5000 0.8875
P 0.3426 0.0000 0.2728
P 0.3426 0.5000 0.7728
As 0.7864 0.0000 0.8639
As 0.7864 0.5000 0.3639
B 0.3439 0.0000 0.6537
B 0.3439 0.5000 0.1537

---

# 6
Entry from the Alexandria database: a relaxed B3AsP crystal (PBE).

Its density of states at the Fermi level is 0.38 states/eV per atom. Its energy above the lowest structure with this stoichiometry is 546.9 meV/atom. The space-group type is No. 221.

a b c (Å): 4.1016 4.1016 4.1016
angles (deg): 90.00 90.00 90.00
Atoms (fractional coordinates):
P 0.5000 0.5000 0.5000
As 0.0000 0.0000 0.0000
B 0.0000 0.5000 0.0000
B 0.0000 0.0000 0.5000
B 0.5000 0.0000 0.0000